The following is a DFT calculation (PBE with a Hubbard U) of a relaxed structure of CsCo2AgF8.

Total magnetization = 0.67 μB/atom
VASP energy = -4.272 eV per atom

Cell lengths 5.662, 5.662, 8.386 Å; angles 90.00, 90.00, 120.00 degrees
Each line ends with the local moment (μB).
Sites, in units of the cell vectors:
Cs 0.000 0.000 0.500  0.00
F 0.705 0.665 0.169  0.16
F 0.333 0.667 0.551  0.17
F 0.665 0.959 0.831  0.16
F 0.959 0.295 0.169  0.16
Co 0.667 0.333 0.231  3.02
F 0.335 0.041 0.169  0.16
Ag 0.000 0.000 0.000  0.46
F 0.667 0.333 0.449  0.17
F 0.295 0.335 0.831  0.16
F 0.041 0.705 0.831  0.16
Co 0.333 0.667 0.769  3.02